1.
First-principles (meta-GGA SCAN) data for a PBEsol-optimized structure of KPtC2, as listed in Alexandria. Values from VASP.

Calculated density: 8.887 Mg/m³
Symmetry: Fm-3m, No. 225
Formation enthalpy at 0 K: 2300 meV per atom
N(E_F): 1.9 states/eV/f.u.
M_tot: 0.00 μB per cell
Crystal system: cubic

```
&SYSTEM
  ibrav = 0, nat = 4, ntyp = 3
/
ATOMIC_SPECIES
Pt 195.08 Pt.upf
C 12.01 C.upf
K 39.10 K.upf
ATOMIC_POSITIONS crystal
Pt 0.500 0.500 0.500
C 0.250 0.250 0.250
C 0.750 0.750 0.750
K 0.000 0.000 0.000
CELL_PARAMETERS angstrom
-3.362 0.742 2.201
-2.903 -2.857 0.322
-0.582 -1.929 3.555
```

***

2.
First-principles (meta-GGA SCAN) data for a PBEsol-optimized structure of KRb2C2, as listed in Alexandria. Values from VASP.

Calculated density: 2.305 Mg/m³
Symmetry: I4/mmm, No. 139
Formation enthalpy at 0 K: 1745 meV per atom
N(E_F): 2.0 states/eV/f.u.
M_tot: 5.00 μB per cell
Crystal system: tetragonal

```
&SYSTEM
  ibrav = 0, nat = 5, ntyp = 3
/
ATOMIC_SPECIES
Rb 85.47 Rb.upf
C 12.01 C.upf
K 39.10 K.upf
ATOMIC_POSITIONS crystal
Rb 0.664 0.664 0.328
Rb 0.336 0.336 0.672
C 0.750 0.250 0.500
C 0.250 0.750 0.500
K 0.000 0.000 0.000
CELL_PARAMETERS angstrom
5.612 0.000 0.000
0.000 5.612 0.000
-2.806 -2.806 5.354
```

***

3.
First-principles (meta-GGA SCAN) data for a PBEsol-optimized structure of KRuC3, as listed in Alexandria. Values from VASP.

Calculated density: 4.834 Mg/m³
Symmetry: Pm-3m, No. 221
Formation enthalpy at 0 K: 4783 meV per atom
N(E_F): 2.9 states/eV/f.u.
M_tot: 0.00 μB per cell
Crystal system: cubic

```
&SYSTEM
  ibrav = 0, nat = 5, ntyp = 3
/
ATOMIC_SPECIES
Ru 101.07 Ru.upf
C 12.01 C.upf
K 39.10 K.upf
ATOMIC_POSITIONS crystal
Ru 0.500 0.500 0.500
C 0.500 0.000 0.000
C 0.000 0.000 0.500
C 0.000 0.500 0.000
K 0.000 0.000 0.000
CELL_PARAMETERS angstrom
-0.665 -3.683 -1.188
2.986 0.278 -2.535
2.462 -1.333 2.753
```

***

4.
First-principles (meta-GGA SCAN) data for a PBEsol-optimized structure of K3RuC, as listed in Alexandria. Values from VASP.

Calculated density: 1.769 Mg/m³
Symmetry: Pm-3m, No. 221
Formation enthalpy at 0 K: 1820 meV per atom
M_tot: 5.00 μB per cell
Crystal system: cubic

```
&SYSTEM
  ibrav = 0, nat = 5, ntyp = 3
/
ATOMIC_SPECIES
K 39.10 K.upf
Ru 101.07 Ru.upf
C 12.01 C.upf
ATOMIC_POSITIONS crystal
K 0.000 0.000 0.500
K 0.500 0.000 0.000
K 0.000 0.500 0.000
Ru 0.000 0.000 0.000
C 0.500 0.500 0.500
CELL_PARAMETERS angstrom
-3.680 -4.130 2.330
-1.375 -1.893 -5.527
4.538 -3.922 0.215
```

***

5.
First-principles (meta-GGA SCAN) data for a PBEsol-optimized structure of KRuC3, as listed in Alexandria. Values from VASP.

Calculated density: 4.538 Mg/m³
Symmetry: Pm-3m, No. 221
Formation enthalpy at 0 K: 1698 meV per atom
N(E_F): 2.1 states/eV/f.u.
M_tot: 2.80 μB per cell
Crystal system: cubic

```
&SYSTEM
  ibrav = 0, nat = 5, ntyp = 3
/
ATOMIC_SPECIES
C 12.01 C.upf
K 39.10 K.upf
Ru 101.07 Ru.upf
ATOMIC_POSITIONS crystal
C 0.000 0.500 0.000
C 0.500 0.000 0.000
C 0.000 0.000 0.500
K 0.500 0.500 0.500
Ru 0.000 0.000 0.000
CELL_PARAMETERS angstrom
-1.892 -2.154 2.804
2.741 -2.902 -0.381
2.233 1.737 2.842
```

***

6.
First-principles (meta-GGA SCAN) data for a PBEsol-optimized structure of K2CS, as listed in Alexandria. Values from VASP.

Calculated density: 2.105 Mg/m³
Symmetry: Fm-3m, No. 225
N(E_F): 3.6 states/eV/f.u.
M_tot: 2.00 μB per cell
Crystal system: cubic
E_form (uncorrected): 63.4 kJ/mol of atoms

```
&SYSTEM
  ibrav = 0, nat = 4, ntyp = 3
/
ATOMIC_SPECIES
K 39.10 K.upf
C 12.01 C.upf
S 32.06 S.upf
ATOMIC_POSITIONS crystal
K 0.250 0.250 0.250
K 0.750 0.750 0.750
C 0.000 0.000 0.000
S 0.500 0.500 0.500
CELL_PARAMETERS angstrom
5.147 0.000 0.000
2.574 4.458 0.000
2.574 1.486 4.203
```

***

7.
First-principles (meta-GGA SCAN) data for a PBEsol-optimized structure of KSbCS2, as listed in Alexandria. Values from VASP.

Calculated density: 3.256 Mg/m³
Symmetry: P4/mmm, No. 123
N(E_F): 2.7 states/eV/f.u.
M_tot: 1.57 μB per cell
Crystal system: tetragonal
E_form (uncorrected): 194.2 kJ/mol of atoms

```
&SYSTEM
  ibrav = 0, nat = 5, ntyp = 4
/
ATOMIC_SPECIES
S 32.06 S.upf
K 39.10 K.upf
C 12.01 C.upf
Sb 121.76 Sb.upf
ATOMIC_POSITIONS crystal
S 0.000 0.500 0.000
S 0.000 0.000 0.500
K 0.000 0.000 0.000
C 0.500 0.000 0.000
Sb 0.500 0.500 0.500
CELL_PARAMETERS angstrom
4.308 0.000 0.000
0.000 5.297 0.000
0.000 0.000 5.297
```

***

8.
First-principles (meta-GGA SCAN) data for a PBEsol-optimized structure of K2SbC, as listed in Alexandria. Values from VASP.

Calculated density: 2.282 Mg/m³
Symmetry: I-42d, No. 122
N(E_F): 2.0 states/eV/f.u.
M_tot: 0.00 μB per cell
Crystal system: tetragonal
E_form (uncorrected): 63.6 kJ/mol of atoms

```
&SYSTEM
  ibrav = 0, nat = 8, ntyp = 3
/
ATOMIC_SPECIES
Sb 121.76 Sb.upf
C 12.01 C.upf
K 39.10 K.upf
ATOMIC_POSITIONS crystal
Sb 0.000 0.000 0.000
Sb 0.750 0.500 0.500
C 0.500 0.000 0.000
C 0.250 0.500 0.500
K 0.399 0.226 0.726
K 0.875 0.726 0.774
K 0.351 0.774 0.274
K 0.375 0.274 0.226
CELL_PARAMETERS angstrom
-3.776 1.850 -1.373
-6.225 -5.155 3.052
-2.211 5.462 6.318
```

***

9.
First-principles (meta-GGA SCAN) data for a PBEsol-optimized structure of K2Sc2C, as listed in Alexandria. Values from VASP.

Calculated density: 2.618 Mg/m³
Symmetry: I4/mmm, No. 139
Formation enthalpy at 0 K: 1468 meV per atom
N(E_F): 2.6 states/eV/f.u.
M_tot: 1.90 μB per cell
Crystal system: tetragonal

```
&SYSTEM
  ibrav = 0, nat = 5, ntyp = 3
/
ATOMIC_SPECIES
Sc 44.96 Sc.upf
K 39.10 K.upf
C 12.01 C.upf
ATOMIC_POSITIONS crystal
Sc 0.435 0.435 0.869
Sc 0.565 0.565 0.131
K 0.250 0.750 0.500
K 0.750 0.250 0.500
C 0.000 0.000 0.000
CELL_PARAMETERS angstrom
3.522 0.000 0.000
0.000 3.522 0.000
-1.761 -1.761 9.210
```

***

10.
First-principles (meta-GGA SCAN) data for a PBEsol-optimized structure of K2ZrCSe, as listed in Alexandria. Values from VASP.

Calculated density: 2.915 Mg/m³
Symmetry: P4/mmm, No. 123
N(E_F): 2.7 states/eV/f.u.
M_tot: 3.42 μB per cell
Crystal system: tetragonal
E_form (uncorrected): 120.5 kJ/mol of atoms

```
&SYSTEM
  ibrav = 0, nat = 5, ntyp = 4
/
ATOMIC_SPECIES
Zr 91.22 Zr.upf
C 12.01 C.upf
K 39.10 K.upf
Se 78.96 Se.upf
ATOMIC_POSITIONS crystal
Zr 0.500 0.500 0.500
C 0.000 0.000 0.000
K 0.000 0.000 0.500
K 0.000 0.500 0.000
Se 0.500 0.000 0.000
CELL_PARAMETERS angstrom
3.894 0.000 0.000
0.000 6.172 0.000
0.000 0.000 6.172
```

***

11.
First-principles (meta-GGA SCAN) data for a PBEsol-optimized structure of KSrC2, as listed in Alexandria. Values from VASP.

Calculated density: 3.466 Mg/m³
Symmetry: Fm-3m, No. 225
Formation enthalpy at 0 K: 1876 meV per atom
N(E_F): 2.9 states/eV/f.u.
M_tot: 0.00 μB per cell
Crystal system: cubic

```
&SYSTEM
  ibrav = 0, nat = 4, ntyp = 3
/
ATOMIC_SPECIES
C 12.01 C.upf
Sr 87.62 Sr.upf
K 39.10 K.upf
ATOMIC_POSITIONS crystal
C 0.250 0.250 0.250
C 0.750 0.750 0.750
Sr 0.500 0.500 0.500
K 0.000 0.000 0.000
CELL_PARAMETERS angstrom
4.675 0.000 0.000
2.337 4.048 0.000
2.337 1.349 3.817
```

***

12.
First-principles (meta-GGA SCAN) data for a PBEsol-optimized structure of KTcC3, as listed in Alexandria. Values from VASP.

Calculated density: 4.321 Mg/m³
Symmetry: Pm-3m, No. 221
Formation enthalpy at 0 K: 1498 meV per atom
N(E_F): 2.9 states/eV/f.u.
M_tot: 0.01 μB per cell
Crystal system: cubic

```
&SYSTEM
  ibrav = 0, nat = 5, ntyp = 3
/
ATOMIC_SPECIES
C 12.01 C.upf
Tc 98.00 Tc.upf
K 39.10 K.upf
ATOMIC_POSITIONS crystal
C 0.000 0.500 0.000
C 0.000 0.000 0.500
C 0.500 0.000 0.000
Tc 0.000 0.000 0.000
K 0.500 0.500 0.500
CELL_PARAMETERS angstrom
4.052 0.000 0.000
0.000 4.052 0.000
0.000 0.000 4.052
```

***

13.
First-principles (meta-GGA SCAN) data for a PBEsol-optimized structure of K2TeC, as listed in Alexandria. Values from VASP.

Calculated density: 2.984 Mg/m³
Symmetry: Fm-3m, No. 225
N(E_F): 3.4 states/eV/f.u.
M_tot: 2.00 μB per cell
Crystal system: cubic
E_form (uncorrected): 70.3 kJ/mol of atoms

```
&SYSTEM
  ibrav = 0, nat = 4, ntyp = 3
/
ATOMIC_SPECIES
Te 127.60 Te.upf
K 39.10 K.upf
C 12.01 C.upf
ATOMIC_POSITIONS crystal
Te 0.500 0.500 0.500
K 0.250 0.250 0.250
K 0.750 0.750 0.750
C 0.000 0.000 0.000
CELL_PARAMETERS angstrom
5.555 0.000 0.000
2.778 4.811 0.000
2.778 1.604 4.536
```

***

14.
First-principles (meta-GGA SCAN) data for a PBEsol-optimized structure of K3TeC, as listed in Alexandria. Values from VASP.

Calculated density: 2.518 Mg/m³
Symmetry: Pm-3m, No. 221
M_tot: 3.00 μB per cell
Crystal system: cubic
E_form (uncorrected): 13.9 kJ/mol of atoms

```
&SYSTEM
  ibrav = 0, nat = 5, ntyp = 3
/
ATOMIC_SPECIES
Te 127.60 Te.upf
K 39.10 K.upf
C 12.01 C.upf
ATOMIC_POSITIONS crystal
Te 0.500 0.500 0.500
K 0.000 0.000 0.500
K 0.000 0.500 0.000
K 0.500 0.000 0.000
C 0.000 0.000 0.000
CELL_PARAMETERS angstrom
-2.249 -2.526 -4.380
0.839 -4.913 2.403
-4.986 0.313 2.380
```

***

15.
First-principles (meta-GGA SCAN) data for a PBEsol-optimized structure of KTl2C, as listed in Alexandria. Values from VASP.

Calculated density: 8.296 Mg/m³
Symmetry: Fm-3m, No. 225
Formation enthalpy at 0 K: 1297 meV per atom
N(E_F): 2.5 states/eV/f.u.
M_tot: 0.00 μB per cell
Crystal system: cubic

```
&SYSTEM
  ibrav = 0, nat = 4, ntyp = 3
/
ATOMIC_SPECIES
Tl 204.38 Tl.upf
C 12.01 C.upf
K 39.10 K.upf
ATOMIC_POSITIONS crystal
Tl 0.250 0.250 0.250
Tl 0.750 0.750 0.750
C 0.000 0.000 0.000
K 0.500 0.500 0.500
CELL_PARAMETERS angstrom
-2.163 3.547 2.902
-1.020 -0.982 4.866
2.681 2.263 3.658
```

***

16.
First-principles (meta-GGA SCAN) data for a PBEsol-optimized structure of LaC, as listed in Alexandria. Values from VASP.

Calculated density: 6.691 Mg/m³
Symmetry: P-6m2, No. 187
Formation enthalpy at 0 K: 447 meV per atom
N(E_F): 1.3 states/eV/f.u.
M_tot: 0.83 μB per cell
Crystal system: hexagonal

```
&SYSTEM
  ibrav = 0, nat = 2, ntyp = 2
/
ATOMIC_SPECIES
C 12.01 C.upf
La 138.91 La.upf
ATOMIC_POSITIONS crystal
C 0.500 0.333 0.667
La 0.000 0.000 0.000
CELL_PARAMETERS angstrom
3.199 0.000 0.000
0.000 3.677 0.000
0.000 -1.838 3.184
```

***

17.
First-principles (meta-GGA SCAN) data for a PBEsol-optimized structure of LaC2, as listed in Alexandria. Values from VASP.

Calculated density: 5.476 Mg/m³
Symmetry: I4/mmm, No. 139
Formation enthalpy at 0 K: -304 meV per atom
N(E_F): 0.9 states/eV/f.u.
M_tot: 0.00 μB per cell
Crystal system: tetragonal

```
&SYSTEM
  ibrav = 0, nat = 3, ntyp = 2
/
ATOMIC_SPECIES
C 12.01 C.upf
La 138.91 La.upf
ATOMIC_POSITIONS crystal
C 0.599 0.199 0.401
C 0.401 0.801 0.599
La 0.000 0.000 0.000
CELL_PARAMETERS angstrom
-1.571 0.617 3.505
4.108 -1.158 -0.113
2.642 2.769 0.696
```

***

18.
First-principles (meta-GGA SCAN) data for a PBEsol-optimized structure of LaC, as listed in Alexandria. Values from VASP.

Calculated density: 5.193 Mg/m³
Symmetry: P-1, No. 2
Formation enthalpy at 0 K: -277 meV per atom
N(E_F): 1.1 states/eV/f.u.
M_tot: 0.05 μB per cell
Crystal system: triclinic

```
&SYSTEM
  ibrav = 0, nat = 4, ntyp = 2
/
ATOMIC_SPECIES
C 12.01 C.upf
La 138.91 La.upf
ATOMIC_POSITIONS crystal
C 0.440 0.163 0.952
C 0.560 0.837 0.048
La 0.224 0.750 0.786
La 0.776 0.250 0.214
CELL_PARAMETERS angstrom
-3.341 1.258 1.088
-0.601 0.252 4.243
0.969 6.782 1.069
```

***

19.
First-principles (meta-GGA SCAN) data for a PBEsol-optimized structure of La3MgC, as listed in Alexandria. Values from VASP.

Calculated density: 5.319 Mg/m³
Symmetry: Pm-3m, No. 221
Formation enthalpy at 0 K: -124 meV per atom
N(E_F): 5.6 states/eV/f.u.
M_tot: 0.17 μB per cell
Crystal system: cubic

```
&SYSTEM
  ibrav = 0, nat = 5, ntyp = 3
/
ATOMIC_SPECIES
La 138.91 La.upf
C 12.01 C.upf
Mg 24.30 Mg.upf
ATOMIC_POSITIONS crystal
La 0.000 0.500 0.000
La 0.000 0.000 0.500
La 0.500 0.000 0.000
C 0.000 0.000 0.000
Mg 0.500 0.500 0.500
CELL_PARAMETERS angstrom
-4.158 2.576 1.793
-2.829 -1.788 -3.993
-1.359 -4.160 2.826
```

***

20.
First-principles (meta-GGA SCAN) data for a PBEsol-optimized structure of LaMg2MnC, as listed in Alexandria. Values from VASP.

Calculated density: 2.722 Mg/m³
Symmetry: P4/mmm, No. 123
Formation enthalpy at 0 K: 2595 meV per atom
N(E_F): 4.0 states/eV/f.u.
M_tot: 3.48 μB per cell
Crystal system: tetragonal

```
&SYSTEM
  ibrav = 0, nat = 5, ntyp = 4
/
ATOMIC_SPECIES
Mg 24.30 Mg.upf
La 138.91 La.upf
C 12.01 C.upf
Mn 54.94 Mn.upf
ATOMIC_POSITIONS crystal
Mg 0.000 0.500 0.000
Mg 0.000 0.000 0.500
La 0.000 0.000 0.000
C 0.500 0.500 0.500
Mn 0.500 0.000 0.000
CELL_PARAMETERS angstrom
4.413 0.000 0.000
0.000 5.931 0.000
0.000 0.000 5.931
```